Model a:
Here is a geometry-optimized Tl2CdP2 structure from Alexandria. Energies are from PBE.

The space group is I4/mmm (No. 139) and the conventional cell measures 3.415, 3.415 and 20.999 Å, with angles of 90.00, 90.00 and 90.00 degrees. The inequivalent atoms are Tl at (0.000, 0.000, 0.120), Cd at (0.000, 0.000, 0.500) and P at (0.000, 0.500, 0.250).

The density of states at the Fermi level comes out at 2.085 states/eV/f.u. The calculated density comes out at 7.908 g cm⁻³. Its spin magnetization is 0.0 μB/cell. As for the volume: 245 Å³ per cell.


Model b:
Here is a geometry-optimized Tl2CdP2 structure from Alexandria. Energies are from PBE.

The space group is P4/mbm (No. 127) and the conventional cell measures 6.672, 6.672 and 5.651 Å, with angles of 90.00, 90.00 and 90.00 degrees. The inequivalent atoms are Tl at (0.178, 0.322, 0.000), Cd at (0.000, 0.000, 0.500) and P at (0.113, 0.613, 0.500).

The density of states at the Fermi level comes out at 0.767 states/eV/f.u. The calculated density comes out at 7.698 g cm⁻³. Its spin magnetization is 0.0 μB/cell. As for the volume: 252 Å³ per cell.


Which is the most stable structure? model b is the most stable.


Model a:
Here is a geometry-optimized VCd3P structure from Alexandria. Energies are from PBE.

The space group is Pm-3m (No. 221) and the conventional cell measures 5.074, 5.074 and 5.074 Å, with angles of 90.00, 90.00 and 90.00 degrees. The inequivalent atoms are V at (0.000, 0.000, 0.000), Cd at (0.000, 0.500, 0.500) and P at (0.500, 0.500, 0.500).

The density of states at the Fermi level comes out at 7.340 states/eV/f.u. The calculated density comes out at 5.328 g cm⁻³. Its spin magnetization is 3.8 μB/cell. As for the volume: 131 Å³ per cell.


Model b:
Here is a geometry-optimized VCd3P structure from Alexandria. Energies are from PBE.

The space group is Pm-3m (No. 221) and the conventional cell measures 5.334, 5.334 and 5.334 Å, with angles of 90.00, 90.00 and 90.00 degrees. The inequivalent atoms are V at (0.000, 0.000, 0.000), Cd at (0.000, 0.000, 0.500) and P at (0.500, 0.500, 0.500).

The density of states at the Fermi level comes out at 2.862 states/eV/f.u. The calculated density comes out at 4.587 g cm⁻³. Its spin magnetization is 2.0 μB/cell. As for the volume: 152 Å³ per cell.


Which is the most stable structure? model a is the most stable.


Model a:
Here is a geometry-optimized VCdP3 structure from Alexandria. Energies are from PBE.

The space group is Pm-3m (No. 221) and the conventional cell measures 4.586, 4.586 and 4.586 Å, with angles of 90.00, 90.00 and 90.00 degrees. The inequivalent atoms are V at (0.000, 0.000, 0.000), Cd at (0.500, 0.500, 0.500) and P at (0.000, 0.000, 0.500).

The density of states at the Fermi level comes out at 3.089 states/eV/f.u. The calculated density comes out at 4.413 g cm⁻³. Its spin magnetization is 0.0 μB/cell. As for the volume: 96 Å³ per cell.


Model b:
Here is a geometry-optimized VCdP3 structure from Alexandria. Energies are from PBE.

The space group is Pm-3m (No. 221) and the conventional cell measures 4.890, 4.890 and 4.890 Å, with angles of 90.00, 90.00 and 90.00 degrees. The inequivalent atoms are V at (0.000, 0.000, 0.000), Cd at (0.500, 0.500, 0.500) and P at (0.000, 0.500, 0.500).

The density of states at the Fermi level comes out at 7.371 states/eV/f.u. The calculated density comes out at 3.640 g cm⁻³. Its spin magnetization is 2.6 μB/cell. As for the volume: 117 Å³ per cell.


Which is the most stable structure? model a is the most stable.


Model a:
Here is a geometry-optimized Cd3PW structure from Alexandria. Energies are from PBE.

The space group is Pm-3m (No. 221) and the conventional cell measures 4.997, 4.997 and 4.997 Å, with angles of 90.00, 90.00 and 90.00 degrees. The inequivalent atoms are Cd at (0.000, 0.000, 0.500), P at (0.000, 0.000, 0.000) and W at (0.500, 0.500, 0.500).

The density of states at the Fermi level comes out at 1.897 states/eV/f.u. The calculated density comes out at 7.349 g cm⁻³. Its spin magnetization is 3.5 μB/cell. As for the volume: 125 Å³ per cell.


Model b:
Here is a geometry-optimized Cd3PW structure from Alexandria. Energies are from PBE.

The space group is Pm-3m (No. 221) and the conventional cell measures 5.272, 5.272 and 5.272 Å, with angles of 90.00, 90.00 and 90.00 degrees. The inequivalent atoms are Cd at (0.000, 0.000, 0.500), P at (0.500, 0.500, 0.500) and W at (0.000, 0.000, 0.000).

The density of states at the Fermi level comes out at 5.853 states/eV/f.u. The calculated density comes out at 6.255 g cm⁻³. Its spin magnetization is 0.0 μB/cell. As for the volume: 147 Å³ per cell.


Which is the most stable structure? model a is the most stable.


Model a:
Here is a geometry-optimized CdP3W structure from Alexandria. Energies are from PBE.

The space group is Pm-3m (No. 221) and the conventional cell measures 4.747, 4.747 and 4.747 Å, with angles of 90.00, 90.00 and 90.00 degrees. The inequivalent atoms are Cd at (0.000, 0.000, 0.000), P at (0.000, 0.500, 0.500) and W at (0.500, 0.500, 0.500).

The density of states at the Fermi level comes out at 6.072 states/eV/f.u. The calculated density comes out at 6.040 g cm⁻³. Its spin magnetization is 0.0 μB/cell. As for the volume: 107 Å³ per cell.


Model b:
Here is a geometry-optimized CdP3W structure from Alexandria. Energies are from PBE.

The space group is Pm-3m (No. 221) and the conventional cell measures 4.739, 4.739 and 4.739 Å, with angles of 90.00, 90.00 and 90.00 degrees. The inequivalent atoms are Cd at (0.000, 0.000, 0.000), P at (0.000, 0.000, 0.500) and W at (0.500, 0.500, 0.500).

The density of states at the Fermi level comes out at 7.584 states/eV/f.u. The calculated density comes out at 6.073 g cm⁻³. Its spin magnetization is 0.0 μB/cell. As for the volume: 106 Å³ per cell.


Which is the most stable structure? model a is the most stable.


Model a:
Here is a geometry-optimized CdP4W structure from Alexandria. Energies are from PBE.

The space group is P2/c (No. 13) and the conventional cell measures 4.807, 8.101 and 6.453 Å, with angles of 90.00, 92.93 and 90.00 degrees. The inequivalent atoms are Cd at (0.000, 0.183, 0.250), P at (0.176, 0.148, 0.865), P at (0.223, 0.465, 0.464) and W at (0.500, 0.346, 0.750).

The density of states at the Fermi level comes out at 3.309 states/eV/f.u. The calculated density comes out at 5.560 g cm⁻³. Its spin magnetization is 0.0 μB/cell. As for the volume: 251 Å³ per cell.


Model b:
Here is a geometry-optimized CdP4W structure from Alexandria. Energies are from PBE.

The space group is F-43m (No. 216) and the conventional cell measures 7.198, 7.198 and 7.198 Å, with angles of 90.00, 90.00 and 90.00 degrees. The inequivalent atoms are Cd at (0.000, 0.000, 0.000), P at (0.121, 0.121, 0.621) and W at (0.250, 0.250, 0.250).

The density of states at the Fermi level comes out at 2.632 states/eV/f.u. The calculated density comes out at 7.482 g cm⁻³. Its spin magnetization is 0.0 μB/cell. As for the volume: 373 Å³ per cell.


Which is the most stable structure? model a is the most stable.


Model a:
Here is a geometry-optimized CdPW3 structure from Alexandria. Energies are from PBE.

The space group is Pm-3m (No. 221) and the conventional cell measures 4.497, 4.497 and 4.497 Å, with angles of 90.00, 90.00 and 90.00 degrees. The inequivalent atoms are Cd at (0.000, 0.000, 0.000), P at (0.500, 0.500, 0.500) and W at (0.000, 0.500, 0.500).

The density of states at the Fermi level comes out at 7.890 states/eV/f.u. The calculated density comes out at 12.686 g cm⁻³. Its spin magnetization is 0.0 μB/cell. As for the volume: 91 Å³ per cell.


Model b:
Here is a geometry-optimized CdPW3 structure from Alexandria. Energies are from PBE.

The space group is Pm-3m (No. 221) and the conventional cell measures 4.849, 4.849 and 4.849 Å, with angles of 90.00, 90.00 and 90.00 degrees. The inequivalent atoms are Cd at (0.000, 0.000, 0.000), P at (0.500, 0.500, 0.500) and W at (0.000, 0.000, 0.500).

The density of states at the Fermi level comes out at 9.158 states/eV/f.u. The calculated density comes out at 10.120 g cm⁻³. Its spin magnetization is 0.0 μB/cell. As for the volume: 114 Å³ per cell.


Which is the most stable structure? model a is the most stable.


Model a:
Here is a geometry-optimized Y2CdP structure from Alexandria. Energies are from PBE.

The space group is R3m (No. 160, hexagonal axes) and the conventional cell measures 3.9409, 3.9409 and 24.8085 Å, with angles of 90.00, 90.00 and 120.00 degrees. The inequivalent atoms are Y at (0.0000, 0.0000, 0.0000), Y at (0.0000, 0.0000, 0.2131), Cd at (0.0000, 0.0000, 0.4522) and P at (0.0000, 0.0000, 0.7272).

The density of states at the Fermi level comes out at 2.122 states/eV/f.u. The calculated density comes out at 4.795 g cm⁻³. Its spin magnetization is 2.6 μB/cell. As for the volume: 334 Å³ per cell.


Model b:
Here is a geometry-optimized Y2CdP structure from Alexandria. Energies are from PBE.

The space group is Immm (No. 71) and the conventional cell measures 4.097, 5.626 and 8.673 Å, with angles of 90.00, 90.00 and 90.00 degrees. The inequivalent atoms are Y at (0.000, 0.000, 0.218), Cd at (0.000, 0.500, 0.000) and P at (0.000, 0.500, 0.500).

The density of states at the Fermi level comes out at 3.165 states/eV/f.u. The calculated density comes out at 5.336 g cm⁻³. Its spin magnetization is 0.0 μB/cell. As for the volume: 200 Å³ per cell.


Model c:
Here is a geometry-optimized Y2CdP structure from Alexandria. Energies are from PBE.

The space group is P4/mmm (No. 123) and the conventional cell measures 3.650, 3.650 and 6.943 Å, with angles of 90.00, 90.00 and 90.00 degrees. The inequivalent atoms are Y at (0.000, 0.000, 0.224), Cd at (0.500, 0.500, 0.500) and P at (0.500, 0.500, 0.000).

The density of states at the Fermi level comes out at 3.497 states/eV/f.u. The calculated density comes out at 5.765 g cm⁻³. Its spin magnetization is 0.0 μB/cell. As for the volume: 93 Å³ per cell.


Model d:
Here is a geometry-optimized Y2CdP structure from Alexandria. Energies are from PBE.

The space group is Amm2 (No. 38) and the conventional cell measures 4.038, 4.263 and 11.128 Å, with angles of 90.00, 90.00 and 90.00 degrees. The inequivalent atoms are Y at (0.000, 0.000, 0.000), Y at (0.500, 0.000, 0.290), Cd at (0.500, 0.000, 0.572) and P at (0.000, 0.000, 0.744).

The density of states at the Fermi level comes out at 1.779 states/eV/f.u. The calculated density comes out at 5.569 g cm⁻³. Its spin magnetization is 0.0 μB/cell. As for the volume: 192 Å³ per cell.


Which is the most stable structure? model d is the most stable.